1.
Material: La2TlPbN
Method: DFT, GGA-PBE
State: optimized geometry

Unit cell a=6.0723 b=6.0723 c=5.4348 alpha=90.00 beta=90.00 gamma=90.00
Last column: nearest neighbours and their distance in Å.
Space group P4/mmm (No. 123)
One atom of each set of equivalent atoms:
La 0.0000 0.5000 0.0000 (multiplicity 2)  2 Tl 3.04
Tl 0.0000 0.0000 0.0000 (multiplicity 1)  2 Pb 2.72, 4 La 3.04
Pb 0.0000 0.0000 0.5000 (multiplicity 1)  2 Tl 2.72
N 0.5000 0.5000 0.5000 (multiplicity 1)  8 La 4.07, 4 Pb 4.29


2.
Material: La2ZrPbN
Method: DFT, GGA-PBE
State: optimized geometry

Unit cell a=5.2706 b=5.2706 c=4.4636 alpha=90.00 beta=90.00 gamma=90.00
Last column: nearest neighbours and their distance in Å.
Space group P4/mmm (No. 123)
One atom of each set of equivalent atoms:
La 0.0000 0.5000 0.0000 (multiplicity 2)  2 N 2.64
Zr 0.0000 0.0000 0.5000 (multiplicity 1)  2 N 2.23
Pb 0.5000 0.5000 0.5000 (multiplicity 1)  8 La 3.45, 4 Zr 3.73
N 0.0000 0.0000 0.0000 (multiplicity 1)  2 Zr 2.23


3.
Material: LaZr2PbN
Method: DFT, GGA-PBE
State: optimized geometry

Unit cell a=4.5727 b=4.5727 c=5.2271 alpha=90.00 beta=90.00 gamma=90.00
Last column: nearest neighbours and their distance in Å.
Space group P4/mmm (No. 123)
One atom of each set of equivalent atoms:
La 0.0000 0.0000 0.0000 (multiplicity 1)  2 N 2.61
Zr 0.0000 0.5000 0.5000 (multiplicity 2)  2 N 2.29
Pb 0.5000 0.5000 0.0000 (multiplicity 1)  4 La 3.23, 8 Zr 3.47
N 0.0000 0.0000 0.5000 (multiplicity 1)  4 Zr 2.29


4.
Material: La4Pd2N
Method: DFT, GGA-PBE
State: optimized geometry

The value obtained for the offset from the most stable computed form is 0.000 eV/atom.

Unit cell a=13.3365 b=3.8702 c=8.3719 alpha=90.00 beta=124.92 gamma=90.00
Last column: nearest neighbours and their distance in Å.
Space group C2/m (No. 12)
One atom of each set of equivalent atoms:
La 0.0812 0.0000 0.3576 (multiplicity 4)  1 N 2.53
La 0.1535 0.5000 0.0671 (multiplicity 4)  2 N 2.63
Pd 0.1274 0.5000 0.6796 (multiplicity 4)  1 Pd 2.98, 7 La 3.06-3.25
N 0.0000 0.0000 0.0000 (multiplicity 2)  6 La 2.53-2.63


5.
Material: La4Pd2N
Method: DFT, GGA-PBE
State: optimized geometry

The value obtained for the offset from the most stable computed form is 0.056 eV/atom.

Unit cell a=5.0183 b=5.0183 c=14.8536 alpha=90.00 beta=90.00 gamma=90.00
Last column: nearest neighbours and their distance in Å.
Space group I4/mmm (No. 139)
One atom of each set of equivalent atoms:
La 0.0000 0.0000 0.1811 (multiplicity 4)  1 N 2.69, 1 Pd 2.79
La 0.0000 0.5000 0.0000 (multiplicity 4)  2 N 2.51
Pd 0.0000 0.0000 0.3686 (multiplicity 4)  1 La 2.79
N 0.0000 0.0000 0.0000 (multiplicity 2)  6 La 2.51-2.69


6.
Material: La12Pd3N5
Method: DFT, GGA-PBE
State: optimized geometry

Unit cell a=16.1647 b=16.1647 c=16.1647 alpha=90.00 beta=90.00 gamma=90.00
Last column: nearest neighbours and their distance in Å.
Space group Ia-3d (No. 230)
One atom of each set of equivalent atoms:
La 0.0337 0.0524 0.6493 (multiplicity 96)  2 N 2.36-2.62
Pd 0.0000 0.2500 0.1250 (multiplicity 24)  8 La 3.15-3.26
N 0.0000 0.0000 0.0000 (multiplicity 16)  6 La 2.62
N 0.0000 0.2500 0.3750 (multiplicity 24)  4 La 2.36


We obtain formation energy without anion corrections values of 1.3157; -0.8157; -0.6948; -0.8284; -0.7724; -0.8290 eV/atom for the records listed above, in that order.
We obtain total moment values of 0.0; 1.0; 0.0; 0.0; 0.0; 0.2 Bohr magnetons per cell for the records listed above, in that order.